# 1
# PBE-GGA LaBeIn, relaxed
data_LaBeIn
_chemical_formula_sum 'La2 Be2 In2'
_cell_length_a 3.368
_cell_length_b 3.368
_cell_length_c 12.073
_cell_angle_alpha 90.00
_cell_angle_beta 90.00
_cell_angle_gamma 90.00
_space_group_name_H-M_alt 'I 4 m m'
_space_group_IT_number 107
_space_group_name_Hall 'I 4 -2'
loop_
_atom_site_label
_atom_site_fract_x
_atom_site_fract_y
_atom_site_fract_z
La1 0.000 0.000 0.000
Be1 0.000 0.000 0.333
In1 0.000 0.000 0.715
# **Raw total energy**: -11.27 eV per formula unit
# **Theoretical density**: 6.37 g/cm³
# **Calculated volume**: 22.829 Å³ per atom
# **E above lowest polymorph**: 0.246 eV per atom

---

# 2
# PBE-GGA La2BeIn, relaxed
data_La2BeIn
_chemical_formula_sum 'La8 Be4 In4'
_cell_length_a 11.232
_cell_length_b 5.221
_cell_length_c 7.554
_cell_angle_alpha 90.00
_cell_angle_beta 109.86
_cell_angle_gamma 90.00
_space_group_name_H-M_alt 'C 1 m 1'
_space_group_IT_number 8
loop_
_space_group_symop_operation_xyz
'x,y,z'
'x,-y,z'
'x+1/2,y+1/2,z'
'x+1/2,-y+1/2,z'
loop_
_atom_site_label
_atom_site_fract_x
_atom_site_fract_y
_atom_site_fract_z
La1 0.000 0.000 0.000
La2 0.005 0.000 0.503
La3 0.285 0.000 0.894
La4 0.314 0.000 0.409
Be1 0.037 0.500 0.259
Be2 0.054 0.500 0.786
In1 0.207 0.500 0.592
In2 0.215 0.500 0.121
# **Raw total energy**: -16.83 eV per formula unit
# **Theoretical density**: 6.40 g/cm³
# **Calculated volume**: 26.038 Å³ per atom
# **E above lowest polymorph**: 0.061 eV per atom

---

# 3
# PBE-GGA La2BeIn, relaxed
data_La2BeIn
_chemical_formula_sum 'La4 Be2 In2'
_cell_length_a 4.486
_cell_length_b 3.922
_cell_length_c 12.517
_cell_angle_alpha 90.00
_cell_angle_beta 90.00
_cell_angle_gamma 90.00
_space_group_name_H-M_alt 'A m m 2'
_space_group_IT_number 38
loop_
_space_group_symop_operation_xyz
'x,y,z'
'-x,-y,z'
'-x,y,z'
'x,-y,z'
'x,y+1/2,z+1/2'
'-x,-y+1/2,z+1/2'
'-x,y+1/2,z+1/2'
'x,-y+1/2,z+1/2'
loop_
_atom_site_label
_atom_site_fract_x
_atom_site_fract_y
_atom_site_fract_z
La1 0.000 0.000 0.000
La2 0.500 0.000 0.319
Be1 0.000 0.000 0.722
In1 0.500 0.000 0.608
# **Raw total energy**: -16.66 eV per formula unit
# **Theoretical density**: 6.06 g/cm³
# **Calculated volume**: 27.528 Å³ per atom
# **E above lowest polymorph**: 0.105 eV per atom

---

# 4
# PBE-GGA LaBeIn4, relaxed
data_LaBeIn4
_chemical_formula_sum 'La4 Be4 In16'
_cell_length_a 8.623
_cell_length_b 8.623
_cell_length_c 8.623
_cell_angle_alpha 90.00
_cell_angle_beta 90.00
_cell_angle_gamma 90.00
_space_group_name_H-M_alt 'F -4 3 m'
_space_group_IT_number 216
_space_group_name_Hall 'F -4 2 3'
loop_
_atom_site_label
_atom_site_fract_x
_atom_site_fract_y
_atom_site_fract_z
La1 0.000 0.000 0.000
Be1 0.250 0.250 0.750
In1 0.124 0.124 0.376
# **Raw total energy**: -18.21 eV per formula unit
# **Theoretical density**: 6.29 g/cm³
# **Calculated volume**: 26.719 Å³ per atom

---

# 5
# PBE-GGA LaBeIn, relaxed
data_LaBeIn
_chemical_formula_sum 'La4 Be4 In4'
_cell_length_a 12.767
_cell_length_b 4.106
_cell_length_c 5.734
_cell_angle_alpha 90.00
_cell_angle_beta 110.19
_cell_angle_gamma 90.00
_space_group_name_H-M_alt 'C 1 2/m 1'
_space_group_IT_number 12
loop_
_space_group_symop_operation_xyz
'x,y,z'
'-x,-y,-z'
'-x,y,-z'
'x,-y,z'
'x+1/2,y+1/2,z'
'-x+1/2,-y+1/2,-z'
'-x+1/2,y+1/2,-z'
'x+1/2,-y+1/2,z'
loop_
_atom_site_label
_atom_site_fract_x
_atom_site_fract_y
_atom_site_fract_z
La1 0.124 0.000 0.284
Be1 0.228 0.000 0.862
In1 0.102 0.500 0.753
# **Raw total energy**: -11.98 eV per formula unit
# **Theoretical density**: 6.19 g/cm³
# **Calculated volume**: 23.509 Å³ per atom
# **E above lowest polymorph**: 0.010 eV per atom

---

# 6
# PBE-GGA LaBeIn, relaxed
data_LaBeIn
_chemical_formula_sum 'La2 Be2 In2'
_cell_length_a 3.654
_cell_length_b 4.747
_cell_length_c 8.589
_cell_angle_alpha 97.39
_cell_angle_beta 90.00
_cell_angle_gamma 90.01
_space_group_name_H-M_alt 'P 1'
_space_group_IT_number 1
loop_
_space_group_symop_operation_xyz
'x,y,z'
loop_
_atom_site_label
_atom_site_fract_x
_atom_site_fract_y
_atom_site_fract_z
La1 0.000 0.000 0.000
La2 0.001 0.902 0.547
Be1 0.501 0.060 0.287
Be2 0.501 0.367 0.478
In1 0.500 0.456 0.776
In2 0.500 0.546 0.204
# **Raw total energy**: -11.58 eV per formula unit
# **Theoretical density**: 5.91 g/cm³
# **Calculated volume**: 24.625 Å³ per atom
# **E above lowest polymorph**: 0.141 eV per atom

---

Calculated density of states at the Fermi level, 0.54 0.98 0.96 0.94 0.82 0.81 states/eV per atom (same order as the records).